Entry 1:
Here is crystalline Mg6CrCO8 at its relaxed geometry from Alexandria. Energies are from PBE+U.

Values from the calculation:
For the density of states at the Fermi level, the calculation gives 0.075 states/eV/atom. The calculation puts the total moment at 4.00 μB per formula unit. Its offset from the most stable computed form is 0.020 eV per atom. Its total energy is -96.7 eV for the cell shown.

Lattice parameters (Å, degrees): 4.272 4.272 8.463 90.00 90.00 90.00
Atoms (fractional coordinates):
Mg 0.000 0.000 0.500
Mg 0.500 0.500 0.500
Mg 0.000 0.500 0.245
Mg 0.000 0.500 0.755
Mg 0.500 0.000 0.245
Mg 0.500 0.000 0.755
Cr 0.000 0.000 0.000
C 0.500 0.500 0.000
O 0.000 0.000 0.246
O 0.000 0.000 0.754
O 0.500 0.500 0.254
O 0.500 0.500 0.746
O 0.000 0.500 0.000
O 0.000 0.500 0.500
O 0.500 0.000 0.000
O 0.500 0.000 0.500



Entry 2:
Here is crystalline Mg6CrCO8 at its relaxed geometry from Alexandria. Energies are from PBE+U.

Values from the calculation:
For the density of states at the Fermi level, the calculation gives 0.094 states/eV/atom. The calculation puts the total moment at 4.00 μB per formula unit. Its offset from the most stable computed form is 0.000 eV per atom. Its total energy is -97.0 eV for the cell shown.

Lattice parameters (Å, degrees): 4.174 4.174 8.952 90.00 90.00 90.00
Atoms (fractional coordinates):
Mg 0.500 0.500 0.000
Mg 0.500 0.500 0.500
Mg 0.000 0.500 0.260
Mg 0.000 0.500 0.740
Mg 0.500 0.000 0.260
Mg 0.500 0.000 0.740
Cr 0.000 0.000 0.000
C 0.000 0.000 0.500
O 0.000 0.000 0.222
O 0.000 0.000 0.778
O 0.500 0.500 0.254
O 0.500 0.500 0.746
O 0.000 0.500 0.000
O 0.000 0.500 0.500
O 0.500 0.000 0.000
O 0.500 0.000 0.500